*P*
Ac2AgS | Alexandria via LeMat-Bulk | GGA-PBE | relaxed; symmetry = No. 123
1.0
3.7868 0.0000 0.0000
0.0000 3.7868 0.0000
0.0000 0.0000 7.8809
Ac Ag S
2 1 1
direct
0.0000 0.0000 0.2373
0.0000 0.0000 0.7627
0.5000 0.5000 0.5000
0.5000 0.5000 0.0000



*Q*
Ac2AgS | Alexandria via LeMat-Bulk | GGA-PBE | relaxed; symmetry = No. 166
1.0
4.4098 0.0000 0.0000
-2.2049 3.8190 0.0000
0.0000 0.0000 22.7459
Ac Ag S
6 3 3
direct
0.0000 0.0000 0.2431
0.0000 0.0000 0.7569
0.3333 0.6667 0.4236
0.3333 0.6667 0.9098
0.6667 0.3333 0.0902
0.6667 0.3333 0.5764
0.0000 0.0000 0.0000
0.3333 0.6667 0.6667
0.6667 0.3333 0.3333
0.0000 0.0000 0.5000
0.3333 0.6667 0.1667
0.6667 0.3333 0.8333



*R*
Ac2AgS | Alexandria via LeMat-Bulk | GGA-PBE | relaxed; symmetry = No. 160
1.0
4.2840 0.0000 0.0000
-2.1420 3.7100 0.0000
0.0000 0.0000 24.0180
Ac Ag S
6 3 3
direct
0.0000 0.0000 0.0000
0.0000 0.0000 0.1827
0.3333 0.6667 0.6667
0.3333 0.6667 0.8493
0.6667 0.3333 0.3333
0.6667 0.3333 0.5160
0.0000 0.0000 0.4242
0.3333 0.6667 0.0909
0.6667 0.3333 0.7576
0.0000 0.0000 0.5931
0.3333 0.6667 0.2598
0.6667 0.3333 0.9264



Least stable structure: *P*